[1]
# Cs2AgGeI6

A relaxed Cs2AgGeI6 crystal (PBE-GGA, Alexandria via LeMat-Bulk).

uncorrected energy = -0.1915 Ry/atom
formation energy from raw total energies = -0.7581 eV per atom

a b c (Å): 5.8909 5.8909 11.9806
angles (deg): 90.00 90.00 90.00
Fractional coordinates of all 10 atoms:
Cs  0.0000  0.0000  0.2428
Cs  0.0000  0.0000  0.7572
Ag  0.5000  0.5000  0.0000
Ge  0.5000  0.5000  0.5000
I  0.0000  0.5000  0.0000
I  0.0000  0.5000  0.5000
I  0.5000  0.0000  0.0000
I  0.5000  0.0000  0.5000
I  0.5000  0.5000  0.2555
I  0.5000  0.5000  0.7445

[2]
# Cs2AgGeI6

A relaxed Cs2AgGeI6 crystal (PBE-GGA, Alexandria via LeMat-Bulk).

uncorrected energy = -0.1918 Ry/atom
formation energy from raw total energies = -0.7621 eV per atom

a b c (Å): 8.3603 8.3603 8.3603
angles (deg): 120.11 120.11 89.81
Fractional coordinates of all 10 atoms:
Cs  0.2500  0.7500  0.5000
Cs  0.7500  0.2500  0.5000
Ag  0.0000  0.0000  0.0000
Ge  0.5000  0.5000  0.0000
I  0.2530  0.2530  0.5061
I  0.2530  0.7470  0.0000
I  0.2538  0.2538  0.0000
I  0.7462  0.7462  0.0000
I  0.7470  0.2530  0.0000
I  0.7470  0.7470  0.4939